The following is a DFT calculation (GGA-PBE) of an optimized crystal structure of MgFe2Tc2.

## Properties
- relative energy among the computed polymorphs (eV/atom) = 0.000
- formation energy from the elements (eV/atom) = 0.1568
- space group = P4/mbm (127)
- final energy (eV for the cell shown) = -76.94

Cell lengths 7.179, 7.179, 2.679 Å; angles 90.00, 90.00, 90.00 degrees
Sites, in units of the cell vectors:
Mg 0.000 0.000 0.000
Mg 0.500 0.500 0.000
Tc 0.168 0.668 0.500
Tc 0.668 0.832 0.500
Tc 0.832 0.332 0.500
Tc 0.332 0.168 0.500
Fe 0.379 0.879 0.000
Fe 0.879 0.621 0.000
Fe 0.621 0.121 0.000
Fe 0.121 0.379 0.000